(1)
First-principles (PBE-GGA) data for a relaxed structure of BaAgIO2, as listed in Alexandria via LeMat-Bulk.

Cell: 4.523 4.523 7.509 Å, 90.00 90.00 90.00°
Each line ends with the local moment (μB).
Positions (direct):
Ba 0.000 0.000 0.000  -0.01
O 0.000 0.500 0.000  0.12
O 0.500 0.000 0.000  0.12
I 0.000 0.000 0.500  0.00
Ag 0.500 0.500 0.500  0.00

Computed properties:
Raw total energy (eV/atom): -3.66
Crystal system: tetragonal

---

(2)
First-principles (PBE-GGA) data for a relaxed structure of Tl8Hg2Te3, as listed in Alexandria via LeMat-Bulk.

Cell: 5.558 11.135 9.817 Å, 128.95 90.00 90.00°
Positions (direct):
Tl 0.500 0.616 0.728
Tl 0.000 0.871 0.759
Tl 0.000 0.129 0.241
Tl 0.000 0.333 0.721
Tl 0.500 0.855 0.216
Tl 0.500 0.145 0.784
Tl 0.000 0.667 0.279
Tl 0.500 0.384 0.272
Hg 0.500 0.227 0.498
Hg 0.500 0.773 0.502
Te 0.500 0.000 0.000
Te 0.000 0.702 0.968
Te 0.000 0.298 0.032

Computed properties:
Raw total energy (eV/atom): -2.36
Crystal system: monoclinic

---

(3)
First-principles (PBE-GGA) data for a relaxed structure of SiRhI2, as listed in Alexandria via LeMat-Bulk.

Cell: 5.054 5.054 5.054 Å, 60.00 60.00 60.00°
Each line ends with the local moment (μB).
Positions (direct):
Si 0.000 0.000 0.000  -0.03
I 0.750 0.750 0.750  0.09
I 0.250 0.250 0.250  0.09
Rh 0.500 0.500 0.500  0.83

Computed properties:
Raw total energy (eV/atom): -3.21
Crystal system: cubic

---

(4)
First-principles (PBE-GGA) data for a relaxed structure of Nb3ZnIr4, as listed in Alexandria via LeMat-Bulk.

Cell: 2.897 2.897 14.963 Å, 90.00 90.00 90.00°
Positions (direct):
Nb 0.500 0.500 0.500
Nb 0.500 0.500 0.240
Nb 0.500 0.500 0.760
Ir 0.000 0.000 0.115
Ir 0.000 0.000 0.371
Ir 0.000 0.000 0.885
Ir 0.000 0.000 0.629
Zn 0.500 0.500 0.000

Computed properties:
ΔH_f (0 K) (eV per atom): -0.45
Crystal system: tetragonal

---

(5)
First-principles (PBE-GGA) data for a relaxed structure of Tb4TlSe3, as listed in Alexandria via LeMat-Bulk.

Cell: 5.929 5.929 7.245 Å, 114.15 114.15 90.00°
Positions (direct):
Tb 0.500 0.000 0.000
Tb 0.000 0.500 0.000
Tb 0.745 0.745 0.491
Tb 0.255 0.255 0.509
Se 0.250 0.750 0.500
Se 0.750 0.250 0.500
Se 0.500 0.500 0.000
Tl 0.000 0.000 0.000

Computed properties:
Raw total energy (eV/atom): -5.35
Crystal system: tetragonal

---

(6)
First-principles (PBE-GGA) data for a relaxed structure of SrAgN, as listed in Alexandria via LeMat-Bulk.

Cell: 6.230 7.266 5.543 Å, 90.00 90.00 90.00°
Positions (direct):
N 0.250 0.250 0.250
N 0.750 0.750 0.750
N 0.250 0.750 0.750
N 0.750 0.250 0.250
Sr 0.500 0.500 0.500
Sr 0.000 0.500 0.000
Sr 0.000 0.000 0.000
Sr 0.500 0.000 0.500
Ag 0.500 0.750 0.009
Ag 0.000 0.750 0.491
Ag 0.000 0.250 0.509
Ag 0.500 0.250 0.991

Computed properties:
Raw total energy (eV/atom): -4.13
Crystal system: orthorhombic

---

(7)
First-principles (PBE-GGA) data for a relaxed structure of ZrScP2, as listed in Alexandria via LeMat-Bulk.

Cell: 4.780 4.780 4.780 Å, 131.44 114.11 85.97°
Positions (direct):
Zr 0.250 0.750 0.500
Sc 0.750 0.250 0.500
P 0.506 0.506 0.000
P 0.994 0.994 0.000

Computed properties:
ΔH_f (0 K) (eV per atom): -0.98
Crystal system: orthorhombic

---

(8)
First-principles (PBE-GGA) data for a relaxed structure of Mg2InTcHg, as listed in Alexandria via LeMat-Bulk.

Cell: 5.123 5.178 5.123 Å, 90.00 90.00 90.00°
Each line ends with the local moment (μB).
Positions (direct):
Mg 0.500 0.000 0.000  0.00
Mg 0.000 0.000 0.500  0.00
Tc 0.000 0.000 0.000  0.61
Hg 0.500 0.500 0.500  0.01
In 0.000 0.500 0.000  -0.01

Computed properties:
ΔH_f (0 K) (eV per atom): 0.57
Crystal system: tetragonal

---

One value per record, in order, for Fermi-level density of states: 1.33 5.51 3.20 8.23 2.24 4.54 2.49 5.33 states/eV per cell.
One value per record, in order, for total magnetization: 0.295 0.000 0.997 0.000 0.000 0.000 0.000 0.665 μB/f.u..
One value per record, in order, for mass density: 4369 8501 7000 14722 8609 5545 4605 5646 kg/m3.